The following is a GGA-PBE calculation of an optimized crystal structure of CsCdGa2Co, from Alexandria.

POSCAR file:
```
CsCdGa2Co
1.0
-3.951 -1.109 2.465
-2.188 -1.249 -4.070
1.752 -4.957 0.579
Cd Co Ga Cs
1 1 2 1
Direct
0.000 0.000 0.500
0.000 0.000 0.000
0.500 0.000 0.000
0.000 0.500 0.000
0.500 0.500 0.500
```

* N(E_F): 1.31 states/eV/cell
* final energy: -15.0 eV per cell
* space-group type: P4/mmm
* formation enthalpy at 0 K: -0.0178 eV per atom
* ρ: 6.079 g/cm3

=====

The following is a GGA-PBE calculation of an optimized crystal structure of CsCd2CoGe, from Alexandria.

POSCAR file:
```
CsCd2CoGe
1.0
-4.673 2.260 1.082
-2.114 -4.785 0.865
1.159 0.285 4.409
Ge Co Cd Cs
1 1 2 1
Direct
0.000 0.000 0.500
0.000 0.000 0.000
0.000 0.500 0.000
0.500 0.000 0.000
0.500 0.500 0.500
```

* N(E_F): 1.37 states/eV/cell
* final energy: -14.2 eV per cell
* space-group type: P4/mmm
* formation enthalpy at 0 K: 0.0457 eV per atom
* ρ: 6.326 g/cm3

=====

The following is a GGA-PBE calculation of an optimized crystal structure of CsCdCoH6, from Alexandria.

POSCAR file:
```
CsCdCoH6
1.0
-1.879 3.335 2.821
-3.694 2.587 -1.510
-3.951 -4.247 2.389
H Cs Cd Co
6 1 1 1
Direct
0.325 0.086 0.655
0.086 0.325 0.345
0.086 0.589 0.655
0.589 0.325 0.655
0.325 0.589 0.345
0.589 0.086 0.345
0.000 0.000 0.000
0.667 0.667 0.500
0.333 0.333 0.500
```

* N(E_F): 0.00 states/eV/cell
* final energy: -29.8 eV per cell
* space-group type: P312
* ρ: 4.193 g/cm3

=====

The following is a GGA-PBE calculation of an optimized crystal structure of Cs2CdCoI6, from Alexandria.

POSCAR file:
```
Cs2CdCoI6
1.0
-4.595 2.071 6.631
3.063 -6.531 4.163
3.670 1.140 7.419
I Cd Cs Co
6 1 2 1
Direct
0.267 0.267 0.000
0.242 0.242 0.516
0.733 0.733 0.000
0.733 0.267 0.000
0.267 0.733 0.000
0.758 0.758 0.484
0.000 0.000 0.000
0.250 0.750 0.500
0.750 0.250 0.500
0.500 0.500 0.000
```

* N(E_F): 0.76 states/eV/cell
* final energy: -26.2 eV per cell
* space-group type: I4/mmm
* ρ: 4.841 g/cm3

=====

The following is a GGA-PBE calculation of an optimized crystal structure of CsCdIn2Co, from Alexandria.

POSCAR file:
```
CsCdIn2Co
1.0
-2.324 2.206 -3.975
-0.568 -4.570 -2.203
-4.740 -0.589 2.444
In Cd Co Cs
2 1 1 1
Direct
0.500 0.000 0.000
0.000 0.500 0.000
0.000 0.000 0.500
0.000 0.000 0.000
0.500 0.500 0.500
```

* N(E_F): 1.27 states/eV/cell
* final energy: -14.2 eV per cell
* space-group type: P4/mmm
* formation enthalpy at 0 K: 0.0262 eV per atom
* ρ: 6.339 g/cm3

=====

The following is a GGA-PBE calculation of an optimized crystal structure of CsCd2InCo, from Alexandria.

POSCAR file:
```
CsCd2InCo
1.0
-1.777 -0.600 -4.955
-1.435 -4.976 1.118
-4.566 1.640 1.439
Co Cs In Cd
1 1 1 2
Direct
0.000 0.000 0.000
0.500 0.500 0.500
0.000 0.000 0.500
0.500 0.000 0.000
0.000 0.500 0.000
```

* N(E_F): 2.47 states/eV/cell
* final energy: -12.0 eV per cell
* space-group type: P4/mmm
* formation enthalpy at 0 K: 0.1014 eV per atom
* ρ: 6.213 g/cm3

=====

The following is a GGA-PBE calculation of an optimized crystal structure of Cs2CdCoIr, from Alexandria.

POSCAR file:
```
Cs2CdCoIr
1.0
-4.122 2.032 4.650
2.303 -2.272 3.034
3.772 5.234 1.057
Cs Co Cd Ir
2 1 1 1
Direct
0.000 0.000 0.500
0.500 0.000 0.000
0.000 0.000 0.000
0.500 0.500 0.500
0.000 0.500 0.000
```

* N(E_F): 5.48 states/eV/cell
* final energy: -14.6 eV per cell
* space-group type: P4/mmm
* formation enthalpy at 0 K: 0.8058 eV per atom
* ρ: 5.513 g/cm3

=====

The following is a GGA-PBE calculation of an optimized crystal structure of CsLiCd2Co, from Alexandria.

POSCAR file:
```
CsLiCd2Co
1.0
6.666 0.000 0.000
0.000 5.034 0.000
0.000 0.000 6.666
Cd Li Cs Co
2 1 1 1
Direct
0.000 0.000 0.500
0.500 0.000 0.000
0.500 0.500 0.500
0.000 0.000 0.000
0.000 0.500 0.000
```

* N(E_F): 6.65 states/eV/cell
* final energy: -5.1 eV per cell
* space-group type: P4/mmm
* formation enthalpy at 0 K: 1.3240 eV per atom
* ρ: 3.144 g/cm3

=====

The following is a GGA-PBE calculation of an optimized crystal structure of CsNbCdCo2, from Alexandria.

POSCAR file:
```
CsNbCdCo2
1.0
-0.267 -3.592 2.998
4.956 0.730 1.316
-1.335 2.936 3.399
Cd Co Nb Cs
1 2 1 1
Direct
0.500 0.500 0.500
0.000 0.000 0.500
0.500 0.000 0.000
0.000 0.500 0.000
0.000 0.000 0.000
```

* N(E_F): 8.35 states/eV/cell
* final energy: -14.1 eV per cell
* space-group type: P4/mmm
* formation enthalpy at 0 K: 2.3905 eV per atom
* ρ: 6.659 g/cm3

=====

Copy entry 1 word for word.
The following is a GGA-PBE calculation of an optimized crystal structure of CsCdGa2Co, from Alexandria.

POSCAR file:
```
CsCdGa2Co
1.0
-3.951 -1.109 2.465
-2.188 -1.249 -4.070
1.752 -4.957 0.579
Cd Co Ga Cs
1 1 2 1
Direct
0.000 0.000 0.500
0.000 0.000 0.000
0.500 0.000 0.000
0.000 0.500 0.000
0.500 0.500 0.500
```

* N(E_F): 1.31 states/eV/cell
* final energy: -15.0 eV per cell
* space-group type: P4/mmm
* formation enthalpy at 0 K: -0.0178 eV per atom
* ρ: 6.079 g/cm3

=====

> Which value of ρ does entry 2 give?

6.326 g/cm3

=====

> Which formula does entry 8 have?

CsLiCd2Co

=====

> Look up the ρ of the fourth one.

4.841 g/cm3